[1]
The following is a PBE calculation of an optimized crystal structure of CaPr2Nd6Sm3, from Alexandria via LeMat-Bulk.

Summary:
For the energy relative to the elements, the calculation gives 26 meV/atom.

a b c (Å): 6.391 6.391 12.191
angles (deg): 95.00 95.00 120.02
Fractional coordinates of all 12 atoms:
1 Ca 0.000 0.000 0.000
2 Pr 0.333 0.667 0.000
3 Pr 0.667 0.333 0.000
4 Nd 0.086 0.424 0.254
5 Nd 0.252 0.252 0.745
6 Nd 0.424 0.086 0.254
7 Nd 0.576 0.914 0.746
8 Nd 0.748 0.748 0.255
9 Nd 0.914 0.576 0.746
10 Sm 0.166 0.834 0.500
11 Sm 0.500 0.500 0.500
12 Sm 0.834 0.166 0.500



[2]
The following is a PBE calculation of an optimized crystal structure of TaCd2H, from Alexandria via LeMat-Bulk.

Summary:
The calculation puts the offset from the most stable computed form at 0.0 meV per atom.

a b c (Å): 5.664 5.664 5.664
angles (deg): 114.45 114.45 99.92
Fractional coordinates of all 8 atoms:
1 Ta 0.000 0.000 0.000
2 Ta 0.750 0.250 0.500
3 Cd 0.240 0.125 0.615
4 Cd 0.375 0.760 0.885
5 Cd 0.510 0.625 0.385
6 Cd 0.875 0.490 0.115
7 H 0.250 0.750 0.500
8 H 0.500 0.500 0.000



[3]
The following is a PBE calculation of an optimized crystal structure of Na2MgTl6, from Alexandria via LeMat-Bulk.

Summary:
For the energy relative to the elements, the calculation gives -63 meV/atom. The calculation puts the offset from the most stable computed form at 0.0 meV per atom.

a b c (Å): 9.990 9.990 5.058
angles (deg): 90.00 90.00 90.00
Fractional coordinates of all 18 atoms:
1 Na 0.199 0.199 0.000
2 Na 0.301 0.699 0.500
3 Na 0.699 0.301 0.500
4 Na 0.801 0.801 0.000
5 Mg 0.000 0.000 0.500
6 Mg 0.500 0.500 0.000
7 Tl 0.033 0.332 0.500
8 Tl 0.133 0.867 0.000
9 Tl 0.168 0.533 0.000
10 Tl 0.332 0.033 0.500
11 Tl 0.367 0.367 0.500
12 Tl 0.467 0.832 0.000
13 Tl 0.533 0.168 0.000
14 Tl 0.633 0.633 0.500
15 Tl 0.668 0.967 0.500
16 Tl 0.832 0.467 0.000
17 Tl 0.867 0.133 0.000
18 Tl 0.967 0.668 0.500



[4]
The following is a PBE calculation of an optimized crystal structure of Li2AlZnO, from Alexandria via LeMat-Bulk.

Summary:
The value obtained for the uncorrected formation energy is -0.038 eV/atom.

a b c (Å): 5.413 5.413 3.505
angles (deg): 90.00 90.00 90.00
Fractional coordinates of all 5 atoms:
1 Li 0.000 0.500 0.000
2 Li 0.500 0.000 0.000
3 Al 0.000 0.000 0.500
4 Zn 0.500 0.500 0.000
5 O 0.500 0.500 0.500